[1]
SiPbBr2 (PBE-GGA, optimized geometry); magnetic moment = 0.000 μB per atom; uncorrected energy = -3.090 eV per atom; energy above the most stable polymorph in this dataset = 226 meV/atom; volume = 109 Å³/cell
1.0
1.7984 -3.1577 0.0000
1.7984 3.1577 0.0000
0.0000 0.0000 9.6386
Si Pb Br
1 1 2
Cartesian
0.0000 0.0000 0.0000 Si
0.0000 0.0000 4.8193 Pb
1.7984 0.0000 2.0866 Br
1.7984 0.0000 7.5520 Br



[2]
Si2PbBr (PBE-GGA, optimized geometry); magnetic moment = 0.000 μB per atom; uncorrected energy = -3.484 eV per atom; energy above the most stable polymorph in this dataset = 567 meV/atom; volume = 102 Å³/cell
1.0
4.0693 0.0000 0.0000
0.0000 4.0693 0.0000
0.0000 0.0000 6.1785
Si Pb Br
2 1 1
Cartesian
0.0000 2.0347 0.0000 Si
2.0347 0.0000 0.0000 Si
0.0000 0.0000 3.0893 Pb
2.0347 2.0347 3.0893 Br



[3]
Si2PbBr (PBE-GGA, optimized geometry); magnetic moment = 0.000 μB per atom; uncorrected energy = -3.957 eV per atom; energy above the most stable polymorph in this dataset = 94 meV/atom; volume = 104 Å³/cell
1.0
3.3297 0.0000 0.0000
0.0000 3.4365 0.0000
0.0000 0.0000 9.0678
Si Pb Br
2 1 1
Cartesian
0.0000 0.0000 0.0000 Si
1.6649 1.7183 0.7870 Si
0.0000 0.0000 6.2744 Pb
1.6649 1.7183 3.0565 Br



[4]
Si2PbBr2 (PBE-GGA, optimized geometry); magnetic moment = 0.000 μB per atom; uncorrected energy = -3.122 eV per atom; energy above the most stable polymorph in this dataset = 481 meV/atom; volume = 268 Å³/cell
1.0
8.9441 0.0000 0.0000
0.0000 8.9441 0.0000
0.0000 0.0000 3.3543
Si Pb Br
4 2 4
Cartesian
1.9823 2.4898 0.0000 Si
2.4898 6.9619 0.0000 Si
6.4544 1.9823 0.0000 Si
6.9619 6.4544 0.0000 Si
0.0000 0.0000 1.6771 Pb
4.4721 4.4721 1.6771 Pb
1.1259 5.5980 1.6771 Br
3.3461 1.1259 1.6771 Br
5.5980 7.8182 1.6771 Br
7.8182 3.3461 1.6771 Br